(1)
# Tb2TlNi (PBE-GGA, optimized geometry)
# Calculated volume = 94.4 Å³ per cell
# Final energy = -18.83 eV per cell
# Formation enthalpy at 0 K = -0.36 eV/atom
# Excess energy over the best structure of this formula in the dataset = 0.0000 eV/atom
data_Tb2TlNi
_symmetry_space_group_name_H-M 'P 1'
_symmetry_Int_Tables_number 1
_symmetry_space_group_name_Hall 'P 1'
_cell_length_a 3.496
_cell_length_b 3.496
_cell_length_c 7.725
_cell_angle_alpha 90.00
_cell_angle_beta 90.00
_cell_angle_gamma 90.00
loop_
_atom_site_label
_atom_site_type_symbol
_atom_site_fract_x
_atom_site_fract_y
_atom_site_fract_z
Tl1 Tl 0.500 0.500 0.500
Tb1 Tb 0.000 0.000 0.788
Tb2 Tb 0.000 0.000 0.212
Ni1 Ni 0.500 0.500 0.000

***

(2)
# BaSrPb6 (PBE-GGA, optimized geometry)
# Calculated volume = 271.2 Å³ per cell
# Final energy = -28.45 eV per cell
# Formation enthalpy at 0 K = -0.32 eV/atom
# Excess energy over the best structure of this formula in the dataset = 0.0269 eV/atom
data_BaSrPb6
_symmetry_space_group_name_H-M 'P 1'
_symmetry_Int_Tables_number 1
_symmetry_space_group_name_Hall 'P 1'
_cell_length_a 6.043
_cell_length_b 7.198
_cell_length_c 7.198
_cell_angle_alpha 119.97
_cell_angle_beta 90.00
_cell_angle_gamma 90.00
loop_
_atom_site_label
_atom_site_type_symbol
_atom_site_fract_x
_atom_site_fract_y
_atom_site_fract_z
Sr1 Sr 0.000 0.083 0.917
Pb1 Pb 0.500 0.903 0.556
Pb2 Pb 0.000 0.600 0.400
Pb3 Pb 0.000 0.600 0.950
Pb4 Pb 0.000 0.050 0.400
Pb5 Pb 0.500 0.903 0.097
Pb6 Pb 0.500 0.444 0.097
Ba1 Ba 0.500 0.416 0.584

***

(3)
# CaY3Ir (PBE-GGA, optimized geometry)
# Calculated volume = 612.8 Å³ per cell
# Final energy = -127.46 eV per cell
# Formation enthalpy at 0 K = -0.32 eV/atom
# Excess energy over the best structure of this formula in the dataset = 0.0813 eV/atom
data_CaY3Ir
_symmetry_space_group_name_H-M 'P 1'
_symmetry_Int_Tables_number 1
_symmetry_space_group_name_Hall 'P 1'
_cell_length_a 23.773
_cell_length_b 6.855
_cell_length_c 9.334
_cell_angle_alpha 90.00
_cell_angle_beta 156.24
_cell_angle_gamma 90.00
loop_
_atom_site_label
_atom_site_type_symbol
_atom_site_fract_x
_atom_site_fract_y
_atom_site_fract_z
Ca1 Ca 0.430 0.824 0.458
Ca2 Ca 0.570 0.176 0.542
Ca3 Ca 0.070 0.324 0.042
Ca4 Ca 0.930 0.676 0.958
Y1 Y 0.942 0.260 0.389
Y2 Y 0.318 0.563 0.891
Y3 Y 0.194 0.817 0.272
Y4 Y 0.442 0.240 0.889
Y5 Y 0.818 0.937 0.391
Y6 Y 0.182 0.063 0.609
Y7 Y 0.682 0.437 0.109
Y8 Y 0.694 0.683 0.772
Y9 Y 0.558 0.760 0.111
Y10 Y 0.058 0.740 0.611
Y11 Y 0.306 0.317 0.228
Y12 Y 0.806 0.183 0.728
Ir1 Ir 0.595 0.091 0.026
Ir2 Ir 0.095 0.409 0.526
Ir3 Ir 0.905 0.591 0.474
Ir4 Ir 0.405 0.909 0.974

***

(4)
# KZrNiTe3 (PBE-GGA, optimized geometry)
# Calculated volume = 366.6 Å³ per cell
# Final energy = -59.14 eV per cell
# Raw formation energy = -0.79 eV per atom
data_KZrNiTe3
_symmetry_space_group_name_H-M 'P 1'
_symmetry_Int_Tables_number 1
_symmetry_space_group_name_Hall 'P 1'
_cell_length_a 4.019
_cell_length_b 9.711
_cell_length_c 10.360
_cell_angle_alpha 114.93
_cell_angle_beta 90.00
_cell_angle_gamma 90.00
loop_
_atom_site_label
_atom_site_type_symbol
_atom_site_fract_x
_atom_site_fract_y
_atom_site_fract_z
Te1 Te 0.750 0.467 0.150
Te2 Te 0.750 0.199 0.524
Te3 Te 0.250 0.102 0.857
Te4 Te 0.250 0.533 0.850
Te5 Te 0.750 0.898 0.143
Te6 Te 0.250 0.801 0.476
Ni1 Ni 0.250 0.093 0.606
Ni2 Ni 0.750 0.907 0.394
Zr1 Zr 0.250 0.700 0.172
Zr2 Zr 0.750 0.300 0.828
K1 K 0.750 0.768 0.750
K2 K 0.250 0.232 0.250

***

(5)
# Sc2OsRu (PBE-GGA, optimized geometry)
# Calculated volume = 142.1 Å³ per cell
# Final energy = -64.72 eV per cell
# Formation enthalpy at 0 K = 0.20 eV/atom
data_Sc2OsRu
_symmetry_space_group_name_H-M 'P 1'
_symmetry_Int_Tables_number 1
_symmetry_space_group_name_Hall 'P 1'
_cell_length_a 7.152
_cell_length_b 7.152
_cell_length_c 5.770
_cell_angle_alpha 51.70
_cell_angle_beta 51.70
_cell_angle_gamma 90.00
loop_
_atom_site_label
_atom_site_type_symbol
_atom_site_fract_x
_atom_site_fract_y
_atom_site_fract_z
Sc1 Sc 0.375 0.380 0.750
Sc2 Sc 0.875 0.870 0.750
Sc3 Sc 0.620 0.125 0.250
Sc4 Sc 0.130 0.625 0.250
Os1 Os 0.750 0.250 0.500
Os2 Os 0.000 0.000 0.000
Ru1 Ru 0.250 0.750 0.500
Ru2 Ru 0.500 0.500 0.000

***

(6)
# La4TbGa4 (PBE-GGA, optimized geometry)
# Calculated volume = 534.8 Å³ per cell
# Final energy = -80.06 eV per cell
# Formation enthalpy at 0 K = -0.40 eV/atom
data_La4TbGa4
_symmetry_space_group_name_H-M 'P 1'
_symmetry_Int_Tables_number 1
_symmetry_space_group_name_Hall 'P 1'
_cell_length_a 6.518
_cell_length_b 9.058
_cell_length_c 9.058
_cell_angle_alpha 90.00
_cell_angle_beta 90.00
_cell_angle_gamma 90.00
loop_
_atom_site_label
_atom_site_type_symbol
_atom_site_fract_x
_atom_site_fract_y
_atom_site_fract_z
Tb1 Tb 0.500 0.500 0.500
Tb2 Tb 0.000 0.000 0.000
La1 La 0.134 0.208 0.589
La2 La 0.866 0.589 0.792
La3 La 0.366 0.292 0.911
La4 La 0.634 0.089 0.292
La5 La 0.866 0.411 0.208
La6 La 0.134 0.792 0.411
La7 La 0.634 0.911 0.708
La8 La 0.366 0.708 0.089
Ga1 Ga 0.662 0.236 0.621
Ga2 Ga 0.838 0.264 0.879
Ga3 Ga 0.338 0.621 0.764
Ga4 Ga 0.838 0.736 0.121
Ga5 Ga 0.162 0.879 0.736
Ga6 Ga 0.662 0.764 0.379
Ga7 Ga 0.162 0.121 0.264
Ga8 Ga 0.338 0.379 0.236